[1]
# PBE HoScPb, relaxed
data_HoScPb
_chemical_formula_sum 'Ho4 Sc4 Pb4'
_cell_length_a 7.087
_cell_length_b 7.087
_cell_length_c 7.087
_cell_angle_alpha 90.00
_cell_angle_beta 90.00
_cell_angle_gamma 90.00
_space_group_name_H-M_alt 'F -4 3 m'
_space_group_IT_number 216
_space_group_name_Hall 'F -4 2 3'
loop_
_atom_site_label
_atom_site_type_symbol
_atom_site_fract_x
_atom_site_fract_y
_atom_site_fract_z
Ho1 Ho 0.000 0.000 0.000
Sc1 Sc 0.000 0.000 0.500
Pb1 Pb 0.250 0.250 0.250
# **Distance to the lowest polymorph of the same formula**: 0.0 meV per atom
# **Total moment**: 0.92 μB/f.u.

***

[2]
# PBE HoScTe3Pb, relaxed
data_HoScTe3Pb
_chemical_formula_sum 'Ho4 Sc4 Te12 Pb4'
_cell_length_a 4.294
_cell_length_b 15.214
_cell_length_c 11.650
_cell_angle_alpha 90.00
_cell_angle_beta 90.00
_cell_angle_gamma 90.00
_space_group_name_H-M_alt 'C m c m'
_space_group_IT_number 63
_space_group_name_Hall '-C 2c 2'
loop_
_atom_site_label
_atom_site_type_symbol
_atom_site_fract_x
_atom_site_fract_y
_atom_site_fract_z
Ho1 Ho 0.000 0.000 0.000
Sc1 Sc 0.000 0.461 0.250
Te1 Te 0.000 0.085 0.250
Te2 Te 0.000 0.358 0.044
Pb1 Pb 0.000 0.206 0.750
# **Energy**: -117.2 eV/cell
# **Total moment**: 0.02 μB/f.u.

***

[3]
# PBE HoSnPbSe3, relaxed
data_HoSnPbSe3
_chemical_formula_sum 'Ho4 Sn4 Pb4 Se12'
_cell_length_a 3.973
_cell_length_b 14.934
_cell_length_c 11.679
_cell_angle_alpha 90.00
_cell_angle_beta 90.00
_cell_angle_gamma 90.00
_space_group_name_H-M_alt 'C m c m'
_space_group_IT_number 63
_space_group_name_Hall '-C 2c 2'
loop_
_atom_site_label
_atom_site_type_symbol
_atom_site_fract_x
_atom_site_fract_y
_atom_site_fract_z
Ho1 Ho 0.000 0.000 0.000
Sn1 Sn 0.000 0.354 0.250
Pb1 Pb 0.000 0.334 0.750
Se1 Se 0.000 0.001 0.750
Se2 Se 0.000 0.366 0.003
# **Energy**: -112.7 eV/cell
# **Total moment**: 0.01 μB/f.u.

***

[4]
# PBE HoZnPbSe3, relaxed
data_HoZnPbSe3
_chemical_formula_sum 'Ho4 Zn4 Pb4 Se12'
_cell_length_a 4.114
_cell_length_b 13.887
_cell_length_c 10.618
_cell_angle_alpha 90.00
_cell_angle_beta 90.00
_cell_angle_gamma 90.00
_space_group_name_H-M_alt 'C m c m'
_space_group_IT_number 63
_space_group_name_Hall '-C 2c 2'
loop_
_atom_site_label
_atom_site_type_symbol
_atom_site_fract_x
_atom_site_fract_y
_atom_site_fract_z
Ho1 Ho 0.000 0.000 0.000
Zn1 Zn 0.000 0.467 0.250
Pb1 Pb 0.000 0.225 0.750
Se1 Se 0.000 0.081 0.250
Se2 Se 0.000 0.361 0.053
# **Energy**: -102.4 eV/cell
# **Total moment**: 0.01 μB/f.u.